The following is a DFT calculation (PBE-GGA) of a relaxed structure of LaMgGa2Ir.

- final energy (eV per cell) = -23.75
- E_form (eV/atom) = -0.4630
- M_tot (μB per atom) = 0.00
- SG = No. 123

abc: 4.808 4.808 4.917
angles: 90.00 90.00 90.00
Fractional positions:
Ga (0.500, 0.000, 0.000)
Ga (0.000, 0.500, 0.000)
Mg (0.000, 0.000, 0.500)
Ir (0.000, 0.000, 0.000)
La (0.500, 0.500, 0.500)

***

The following is a DFT calculation (PBE-GGA) of a relaxed structure of CePm2Os.

- final energy (eV per cell) = -109.23
- E_form (eV/atom) = -0.1607
- M_tot (μB per atom) = 0.12
- SG = No. 62

abc: 6.491 7.254 9.781
angles: 90.00 90.00 90.00
Fractional positions:
Pm (0.174, 0.671, 0.065)
Pm (0.674, 0.829, 0.935)
Pm (0.826, 0.329, 0.935)
Pm (0.174, 0.671, 0.435)
Pm (0.826, 0.329, 0.565)
Pm (0.674, 0.829, 0.565)
Pm (0.326, 0.171, 0.065)
Pm (0.326, 0.171, 0.435)
Ce (0.342, 0.446, 0.750)
Ce (0.158, 0.946, 0.750)
Ce (0.842, 0.054, 0.250)
Ce (0.658, 0.554, 0.250)
Os (0.485, 0.870, 0.250)
Os (0.515, 0.130, 0.750)
Os (0.015, 0.370, 0.250)
Os (0.985, 0.630, 0.750)

***

The following is a DFT calculation (PBE-GGA) of a relaxed structure of Li2NbVCl.

- final energy (eV per cell) = -20.47
- raw formation energy (eV per atom) = 0.88
- M_tot (μB per atom) = 0.23
- SG = No. 123

abc: 5.141 4.451 5.141
angles: 90.00 90.00 90.00
Fractional positions:
V (0.000, 0.000, 0.000)
Nb (0.000, 0.500, 0.000)
Li (0.000, 0.000, 0.500)
Li (0.500, 0.000, 0.000)
Cl (0.500, 0.500, 0.500)

***

The following is a DFT calculation (PBE-GGA) of a relaxed structure of CdPOsO2.

- final energy (eV per cell) = -29.58
- raw formation energy (eV per atom) = -0.42
- M_tot (μB per atom) = 0.12
- SG = No. 123

abc: 3.795 3.795 5.327
angles: 90.00 90.00 90.00
Fractional positions:
O (0.000, 0.500, 0.000)
O (0.500, 0.000, 0.000)
P (0.000, 0.000, 0.500)
Os (0.000, 0.000, 0.000)
Cd (0.500, 0.500, 0.500)

***

The following is a DFT calculation (PBE-GGA) of a relaxed structure of Bi2OsPt2.

- final energy (eV per cell) = -55.38
- E_form (eV/atom) = 0.6770
- M_tot (μB per atom) = 0.00
- SG = No. 127

abc: 7.516 7.516 3.692
angles: 90.00 90.00 90.00
Fractional positions:
Pt (0.366, 0.134, 0.500)
Pt (0.134, 0.634, 0.500)
Pt (0.634, 0.866, 0.500)
Pt (0.866, 0.366, 0.500)
Bi (0.333, 0.833, 0.000)
Bi (0.833, 0.667, 0.000)
Bi (0.167, 0.333, 0.000)
Bi (0.667, 0.167, 0.000)
Os (0.000, 0.000, 0.000)
Os (0.500, 0.500, 0.000)